1.
Nb2O5, PBEsol geometry, DFT SCAN; energy = -16.541 eV/atom; symmetry = P2_12_12_1; E_form (uncorrected) = -2.624 eV per atom; energy above the lowest structure with this stoichiometry = 0.108 eV/atom
1.0
-4.051 -0.065 -3.451
-5.770 -3.836 6.846
-2.598 9.046 2.879
O Nb
20 8
Direct
0.355 0.002 0.336
0.726 0.785 0.232
0.486 0.481 0.461
0.014 0.519 0.961
0.226 0.715 0.768
0.884 0.287 0.469
0.986 0.019 0.539
0.883 0.087 0.258
0.855 0.498 0.664
0.616 0.713 0.969
0.274 0.285 0.268
0.384 0.213 0.531
0.645 0.502 0.164
0.617 0.913 0.758
0.514 0.981 0.039
0.117 0.587 0.242
0.774 0.215 0.732
0.145 0.998 0.836
0.116 0.787 0.031
0.383 0.413 0.742
0.381 0.846 0.902
0.119 0.154 0.402
0.619 0.967 0.219
0.619 0.346 0.598
0.881 0.033 0.719
0.881 0.654 0.098
0.381 0.467 0.281
0.119 0.533 0.781

2.
AgSnBr2, PBEsol geometry, DFT SCAN; energy = -26.630 eV/atom; symmetry = Fm-3m; E_form (uncorrected) = -0.078 eV per atom
1.0
-4.826 0.711 1.604
-1.624 -2.238 4.327
-0.926 2.847 4.172
Br Sn Ag
2 1 1
Direct
0.250 0.250 0.250
0.750 0.750 0.750
0.500 0.500 0.500
0.000 0.000 0.000

3.
HRu3Cl, PBEsol geometry, DFT SCAN; energy = -22.092 eV/atom; symmetry = Pm-3m
1.0
3.870 0.000 0.000
0.000 3.870 0.000
0.000 0.000 3.870
Ru Cl H
3 1 1
Direct
0.000 0.500 0.000
0.000 0.000 0.500
0.500 0.000 0.000
0.500 0.500 0.500
0.000 0.000 0.000

4.
BeCr2Fe, PBEsol geometry, DFT SCAN; energy = -14.606 eV/atom; symmetry = P4/mmm; E_form = 0.83 eV/f.u.
1.0
-0.089 0.260 2.430
2.369 -0.586 0.150
1.642 6.474 -0.632
Cr Fe Be
2 1 1
Direct
0.000 0.000 0.256
0.000 0.000 0.744
0.500 0.500 0.000
0.500 0.500 0.500

no.,D(E_F) (states/eV/f.u.),density (Mg/m³)
1,0.000,3.46
2,1.142,6.70
3,4.871,9.73
4,3.278,6.99